No. 1
Compound: Nd4CdPt
Source: the Alexandria database
Functional: GGA-PBE
Structure: optimized geometry

Properties
Crystal system: cubic

a = 10.016 Å, b = 10.016 Å, c = 10.016 Å
α = 60.00°, β = 60.00°, γ = 60.00°
Fractional positions:
Nd: 0.058 0.058 0.442
Nd: 0.058 0.442 0.058
Nd: 0.058 0.442 0.442
Nd: 0.186 0.186 0.814
Nd: 0.186 0.814 0.186
Nd: 0.186 0.814 0.814
Nd: 0.197 0.601 0.601
Nd: 0.442 0.058 0.058
Nd: 0.442 0.058 0.442
Nd: 0.442 0.442 0.058
Nd: 0.601 0.197 0.601
Nd: 0.601 0.601 0.197
Nd: 0.601 0.601 0.601
Nd: 0.814 0.186 0.186
Nd: 0.814 0.186 0.814
Nd: 0.814 0.814 0.186
Cd: 0.508 0.831 0.831
Cd: 0.831 0.508 0.831
Cd: 0.831 0.831 0.508
Cd: 0.831 0.831 0.831
Pt: 0.393 0.393 0.393
Pt: 0.393 0.393 0.820
Pt: 0.393 0.820 0.393
Pt: 0.820 0.393 0.393

No. 2
Compound: Nd2CdPt
Source: the Alexandria database
Functional: GGA-PBE
Structure: optimized geometry

Properties
Crystal system: cubic

a = 7.438 Å, b = 7.438 Å, c = 7.438 Å
α = 90.00°, β = 90.00°, γ = 90.00°
Fractional positions:
Nd: 0.250 0.250 0.250
Nd: 0.250 0.250 0.750
Nd: 0.250 0.750 0.250
Nd: 0.250 0.750 0.750
Nd: 0.750 0.250 0.250
Nd: 0.750 0.250 0.750
Nd: 0.750 0.750 0.250
Nd: 0.750 0.750 0.750
Cd: 0.000 0.000 0.000
Cd: 0.000 0.500 0.500
Cd: 0.500 0.000 0.500
Cd: 0.500 0.500 0.000
Pt: 0.000 0.000 0.500
Pt: 0.000 0.500 0.000
Pt: 0.500 0.000 0.000
Pt: 0.500 0.500 0.500

Here are the calculated theoretical density numbers, same order: 8.27; 9.62 (g cm⁻³).
Here are the calculated ΔE_f numbers, same order: -0.54; -0.62 (eV per atom).